Entry from Alexandria: an optimized crystal structure of PmSmThSn (PBE).

```
PmSmThSn
1.0
5.519 0.000 0.000
2.760 4.780 0.000
2.760 1.593 4.507
Sn Sm Th Pm
1 1 1 1
direct
0.250 0.250 0.250
0.500 0.500 0.500
0.750 0.750 0.750
0.000 0.000 0.000
```

E_form	-171.1	meV per atom
space group	No. 216
uncorrected energy	-21.577	eV/f.u.
Fermi-level density of states	4.70	states/eV/cell

=====

Entry from Alexandria: an optimized crystal structure of ScCd2Ge (PBE).

```
ScCd2Ge
1.0
3.121 0.000 0.000
1.561 2.703 0.000
1.561 0.901 10.936
Sc Ge Cd
1 1 2
direct
0.000 0.000 0.000
0.500 0.500 0.500
0.091 0.091 0.728
0.909 0.909 0.272
```

E_form	256.9	meV per atom
space group	No. 166
uncorrected energy	-11.752	eV/f.u.
Fermi-level density of states	3.51	states/eV/cell

=====

Entry from Alexandria: an optimized crystal structure of Tl2AgS4 (PBE).

```
Tl2AgS4
1.0
-2.831 -3.798 -3.849
-0.032 -8.223 3.298
-7.672 -2.726 3.493
Tl Ag S
4 2 8
direct
0.357 0.827 0.459
0.643 0.173 0.541
0.857 0.459 0.827
0.143 0.541 0.173
0.250 0.000 0.000
0.750 0.000 0.000
0.075 0.284 0.565
0.925 0.716 0.435
0.575 0.565 0.284
0.425 0.435 0.716
0.114 0.035 0.738
0.886 0.965 0.262
0.614 0.738 0.035
0.386 0.262 0.965
```

space group	No. 72
distance to the lowest polymorph of the same formula	0	meV per atom
uncorrected energy	-24.683	eV/f.u.
Fermi-level density of states	7.57	states/eV/cell

=====

Entry from Alexandria: an optimized crystal structure of Tb4Tm8Zr (PBE).

```
Tb4Tm8Zr
1.0
7.404 -1.119 1.306
0.893 7.435 1.306
-1.469 -1.119 7.374
Tb Tm Zr
4 8 1
direct
0.500 0.000 0.500
0.000 0.500 0.500
0.500 0.500 0.000
0.000 0.000 0.000
0.245 0.755 0.245
0.755 0.755 0.245
0.755 0.245 0.755
0.245 0.755 0.755
0.755 0.755 0.755
0.245 0.245 0.245
0.755 0.245 0.245
0.245 0.245 0.755
0.500 0.500 0.500
```

E_form	541.7	meV per atom
space group	No. 221
uncorrected energy	-55.800	eV/f.u.
Fermi-level density of states	22.01	states/eV/cell

=====

Entry from Alexandria: an optimized crystal structure of NaMo3I (PBE).

```
NaMo3I
1.0
-3.151 -2.706 2.287
2.474 -3.872 -1.172
2.536 0.415 3.985
I Na Mo
1 1 3
direct
0.500 0.500 0.500
0.000 0.000 0.000
0.000 0.500 0.000
0.000 0.000 0.500
0.500 0.000 0.000
```

space group	No. 221
distance to the lowest polymorph of the same formula	712	meV per atom
uncorrected energy	-21.566	eV/f.u.
Fermi-level density of states	5.34	states/eV/cell

=====

- Among the records above, which one has the lowest uncorrected energy?
  Tb4Tm8Zr